A.
# Na3VF6

Na3VF6 after structural relaxation (PBE with a Hubbard U, the Alexandria database).

Unit cell a=5.8600 b=5.8600 c=5.8600 alpha=60.00 beta=60.00 gamma=60.00
Site moments in Bohr magnetons follow the coordinates.
Fractional coordinates of all 10 atoms:
F  0.7637  0.7637  0.2363  -0.01
F  0.7637  0.2363  0.7637  -0.01
Na  0.5000  0.5000  0.5000  0.00
Na  0.2500  0.2500  0.2500  0.00
F  0.2363  0.7637  0.2363  -0.01
F  0.7637  0.2363  0.2363  -0.01
F  0.2363  0.2363  0.7637  -0.01
Na  0.7500  0.7500  0.7500  0.00
V  0.0000  0.0000  0.0000  1.94
F  0.2363  0.7637  0.7637  -0.01

SG = Fm-3m
density = 2.7 Mg/m³
magnetization = 2.0 μB/cell

B.
# Na3VF6

Na3VF6 after structural relaxation (PBE with a Hubbard U, the Alexandria database).

Unit cell a=5.8254 b=5.5831 c=9.7843 alpha=55.87 beta=90.00 gamma=90.00
Site moments in Bohr magnetons follow the coordinates.
Fractional coordinates of all 20 atoms:
F  0.7790  0.2453  0.4239  0.00
Na  0.9411  0.7230  0.7574  0.00
F  0.4400  0.1035  0.2730  0.00
Na  0.5589  0.7230  0.2574  0.00
V  0.5000  0.0000  0.5000  1.90
Na  0.0000  0.5000  0.5000  0.00
V  0.0000  0.0000  0.0000  1.90
F  0.0600  0.1035  0.7730  0.00
Na  0.4411  0.2770  0.7426  0.00
F  0.1806  0.3423  0.9459  0.01
F  0.3194  0.3423  0.4459  0.01
F  0.5600  0.8965  0.7270  0.00
Na  0.5000  0.5000  0.0000  0.00
F  0.7210  0.2453  0.9239  0.00
Na  0.0589  0.2770  0.2426  0.00
F  0.8194  0.6577  0.0541  0.01
F  0.2790  0.7547  0.0761  0.00
F  0.6806  0.6577  0.5541  0.01
F  0.2210  0.7547  0.5761  0.00
F  0.9400  0.8965  0.2270  0.00

SG = P2_1/c
density = 2.9 Mg/m³
magnetization = 4.0 μB/cell

B ends up most stable, edging out the next structure by 167 meV per atom.

A.
# NaV3F

NaV3F after structural relaxation (PBE with a Hubbard U, the Alexandria database).

Unit cell a=5.2344 b=5.2344 c=5.2344 alpha=90.00 beta=90.00 gamma=90.00
Site moments in Bohr magnetons follow the coordinates.
Fractional coordinates of all 5 atoms:
Na  0.0000  0.0000  0.0000  0.08
V  0.0000  0.5000  0.0000  3.29
F  0.5000  0.5000  0.5000  0.06
V  0.0000  0.0000  0.5000  3.29
V  0.5000  0.0000  0.0000  3.29

SG = Pm-3m
density = 2.3 Mg/m³
magnetization = 12.5 μB/cell

B.
# NaV3F

NaV3F after structural relaxation (PBE with a Hubbard U, the Alexandria database).

Unit cell a=4.6620 b=4.6620 c=4.6620 alpha=90.00 beta=90.00 gamma=90.00
Site moments in Bohr magnetons follow the coordinates.
Fractional coordinates of all 5 atoms:
Na  0.5000  0.5000  0.5000  -0.01
V  0.0000  0.0000  0.5000  2.90
F  0.0000  0.0000  0.0000  0.04
V  0.5000  0.0000  0.0000  2.90
V  0.0000  0.5000  0.0000  2.90

SG = Pm-3m
density = 3.2 Mg/m³
magnetization = 10.3 μB/cell

B ends up most stable, edging out the next structure by 1143 meV per atom.

A.
# Na2VF

Na2VF after structural relaxation (PBE with a Hubbard U, the Alexandria database).

Unit cell a=6.8999 b=6.8999 c=6.5718 alpha=58.33 beta=58.33 gamma=90.00
Site moments in Bohr magnetons follow the coordinates.
Fractional coordinates of all 8 atoms:
V  0.7500  0.2500  0.5000  3.26
Na  0.8750  0.7264  0.7500  0.01
V  0.0000  0.0000  0.0000  3.26
F  0.5000  0.5000  0.0000  0.01
Na  0.4764  0.1250  0.2500  0.01
Na  0.3750  0.5236  0.7500  0.01
Na  0.2736  0.6250  0.2500  0.01
F  0.2500  0.7500  0.5000  0.01

SG = I-42d
density = 1.8 Mg/m³
magnetization = 8.5 μB/cell

B.
# Na2VF

Na2VF after structural relaxation (PBE with a Hubbard U, the Alexandria database).

Unit cell a=5.1376 b=5.1376 c=5.1376 alpha=60.00 beta=60.00 gamma=60.00
Site moments in Bohr magnetons follow the coordinates.
Fractional coordinates of all 4 atoms:
V  0.5000  0.5000  0.5000  3.18
F  0.0000  0.0000  0.0000  0.00
Na  0.2500  0.2500  0.2500  0.01
Na  0.7500  0.7500  0.7500  0.01

SG = Fm-3m
density = 2.0 Mg/m³
magnetization = 4.0 μB/cell

A ends up most stable, edging out the next structure by 539 meV per atom.